DFT (PBE-GGA) results for a geometry-optimized YIn2Pd3 structure.

```
YIn2Pd3
1.0
4.773 0.000 0.000
-2.386 4.133 0.000
0.000 0.000 11.630
Y In Pd
2 4 6
Direct
0.333 0.667 0.170 Y
0.667 0.333 0.830 Y
0.000 0.000 0.000 In
0.000 0.000 0.500 In
0.333 0.667 0.668 In
0.667 0.333 0.332 In
0.000 0.000 0.262 Pd
0.000 0.000 0.738 Pd
0.333 0.667 0.426 Pd
0.333 0.667 0.915 Pd
0.667 0.333 0.085 Pd
0.667 0.333 0.574 Pd
```

- Energy of formation: -0.71 eV/atom
- Calculated total energy: -5.29 eV/atom
- Space-group type: No. 164